This record from Alexandria via LeMat-Bulk describes a relaxed Cs2Ce2HoSe6 crystal. The functional is PBE.

CIF file:
```
data_Cs2Ce2HoSe6
_cell_length_a 7.3963
_cell_length_b 7.3963
_cell_length_c 8.8868
_cell_angle_alpha 97.97
_cell_angle_beta 97.97
_cell_angle_gamma 119.87
_symmetry_space_group_name_H-M 'P 1'
_symmetry_Int_Tables_number 1
loop_
_symmetry_equiv_pos_as_xyz
'x,y,z'
loop_
_atom_site_label
_atom_site_type_symbol
_atom_site_fract_x
_atom_site_fract_y
_atom_site_fract_z
Cs1 Cs 0.1671 0.8329 0.0000
Cs2 Cs 0.8329 0.1671 0.0000
Ce1 Ce 0.3337 0.6663 0.5000
Ce2 Ce 0.6663 0.3337 0.5000
Ho1 Ho 0.0000 0.0000 0.5000
Se1 Se 0.0600 0.3898 0.6818
Se2 Se 0.2673 0.2673 0.3182
Se3 Se 0.3898 0.0600 0.6818
Se4 Se 0.6102 0.9400 0.3182
Se5 Se 0.7327 0.7327 0.6818
Se6 Se 0.9400 0.6102 0.3182
```

Summary:
ΔE_f (raw) ... -1.7232 eV per atom
Electronic total energy ... -5.274 eV/atom
Size of the total moment ... 1.0 μB per cell